(1)
Mn2TeS6 | PBE | optimized geometry

Cell: 5.7118 5.7118 11.0966 Å, 90.00 90.00 90.00°
Last column: nearest neighbours and their distance in Å.
Space group P4_2/mnm (No. 136)
Symmetry-distinct sites (fractional):
1 Mn 0.0000 0.0000 0.1723 x4  6 S 2.30-2.42
2 Te 0.0000 0.0000 0.5000 x2  6 S 2.58-2.67
3 S 0.1692 0.1692 0.0000 x4  2 Mn 2.35
4 S 0.2006 0.2006 0.3192 x8  2 Mn 2.30-2.42

(2)
Mn3TeS8 | PBE | optimized geometry

Cell: 11.9854 6.9118 7.6674 Å, 90.00 122.23 90.00°
Last column: nearest neighbours and their distance in Å.
Space group C2/m (No. 12)
Symmetry-distinct sites (fractional):
1 Mn 0.0000 0.0000 0.0000 x2  6 S 2.36-2.37
2 Mn 0.2500 0.2500 0.0000 x4  6 S 2.36-2.37
3 Te 0.0000 0.5000 0.0000 x2  6 S 2.57
4 S 0.0186 0.2282 0.7886 x8  2 Mn 2.36, 1 Te 2.57
5 S 0.2342 0.0000 0.1980 x4  3 Mn 2.37
6 S 0.2468 0.0000 0.7887 x4  2 Mn 2.36, 1 Te 2.57

(3)
Mn2TeS | PBE | optimized geometry

Cell: 3.7666 3.7666 19.0157 Å, 90.00 90.00 120.00°
Last column: nearest neighbours and their distance in Å.
Space group R-3m (No. 166, hexagonal axes)
Symmetry-distinct sites (fractional):
1 Mn 0.0000 0.0000 0.2360 x6  3 S 2.54
2 Te 0.0000 0.0000 0.0000 x3  6 Mn 2.86
3 S 0.0000 0.0000 0.5000 x3  6 Mn 2.54

(4)
Mn2TeS2 | PBE | optimized geometry

Cell: 3.7221 3.7221 11.6150 Å, 90.00 90.00 90.00°
Last column: nearest neighbours and their distance in Å.
Space group I4/mmm (No. 139)
Symmetry-distinct sites (fractional):
1 Mn 0.0000 0.0000 0.1440 x4  4 S 2.23
2 Te 0.0000 0.0000 0.5000 x2  8 Mn 3.12, 8 S 3.45
3 S 0.0000 0.5000 0.2500 x4  4 Mn 2.23

(5)
Mn3Te3S | PBE | optimized geometry

Cell: 10.8798 10.8798 10.8798 Å, 90.00 90.00 90.00°
Last column: nearest neighbours and their distance in Å.
Space group I4_132 (No. 214)
Symmetry-distinct sites (fractional):
1 Mn 0.1134 0.3634 0.1250 x24  2 S 2.60, 4 Te 2.71-2.85
2 Te 0.1234 0.3750 0.3734 x24  4 Mn 2.71-2.85
3 S 0.1250 0.1250 0.1250 x8  6 Mn 2.60

(6)
MnTe3S | PBE | optimized geometry

Cell: 5.1620 5.1620 5.1620 Å, 90.00 90.00 90.00°
Last column: nearest neighbours and their distance in Å.
Space group Pm-3m (No. 221)
Symmetry-distinct sites (fractional):
1 Mn 0.0000 0.0000 0.0000 x1  12 Te 3.65
2 Te 0.0000 0.5000 0.5000 x3  2 S 2.58
3 S 0.5000 0.5000 0.5000 x1  6 Te 2.58

(7)
Mn2TeS6 | PBE | optimized geometry

Cell: 16.2325 3.4982 7.7155 Å, 90.00 109.17 90.00°
Last column: nearest neighbours and their distance in Å.
Space group C2/m (No. 12)
Symmetry-distinct sites (fractional):
1 Mn 0.1710 0.0000 0.3421 x4  6 S 2.31-2.39
2 Te 0.0000 0.5000 0.0000 x2  6 S 2.63-2.64
3 S 0.0165 0.0000 0.2632 x4  1 Mn 2.38, 2 Te 2.63
4 S 0.1717 0.5000 0.1320 x4  2 Mn 2.39, 1 Te 2.64
5 S 0.1781 0.5000 0.5522 x4  3 Mn 2.31-2.36

(8)
Mn2TeS | PBE | optimized geometry

Cell: 5.3029 5.3029 10.8008 Å, 90.00 90.00 90.00°
Last column: nearest neighbours and their distance in Å.
Space group I-42d (No. 122)
Symmetry-distinct sites (fractional):
1 Mn 0.1904 0.2500 0.1250 x8  2 S 2.14
2 Te 0.0000 0.0000 0.5000 x4  4 Mn 2.51
3 S 0.0000 0.0000 0.0000 x4  4 Mn 2.14

(9)
Mn2TeS | PBE | optimized geometry

Cell: 6.1009 6.1009 6.1009 Å, 90.00 90.00 90.00°
Last column: nearest neighbours and their distance in Å.
Space group Fm-3m (No. 225)
Symmetry-distinct sites (fractional):
1 Mn 0.2500 0.2500 0.2500 x8  4 S 2.64, 4 Te 2.64
2 Te 0.0000 0.0000 0.0000 x4  8 Mn 2.64
3 S 0.0000 0.0000 0.5000 x4  8 Mn 2.64

(10)
TiMnTe2S | PBE | optimized geometry

Cell: 3.7835 4.6475 13.8138 Å, 90.00 90.00 90.00°
Last column: nearest neighbours and their distance in Å.
Space group Imm2 (No. 44)
Symmetry-distinct sites (fractional):
1 Ti 0.0000 0.0000 0.0000 x2  2 S 2.32
2 Mn 0.0000 0.5000 0.8388 x2  1 S 2.29
3 Te 0.0000 0.5000 0.3433 x2  2 Ti 2.87, 4 Mn 3.00
4 Te 0.0000 0.5000 0.6466 x2  1 Mn 2.66, 2 Ti 2.77
5 S 0.0000 0.5000 0.0043 x2  1 Mn 2.29, 2 Ti 2.32

(11)
MnTl2TeS | PBE | optimized geometry

Cell: 5.6349 5.6349 5.3491 Å, 90.00 90.00 90.00°
Last column: nearest neighbours and their distance in Å.
Space group P4/mmm (No. 123)
Symmetry-distinct sites (fractional):
1 Mn 0.0000 0.0000 0.0000 x1  8 Tl 3.88, 4 Te 3.98
2 Tl 0.0000 0.5000 0.5000 x2  2 S 2.82
3 Te 0.5000 0.5000 0.0000 x1  2 S 2.67
4 S 0.5000 0.5000 0.5000 x1  2 Te 2.67, 4 Tl 2.82

(12)
Mn2ZnTeS | PBE | optimized geometry

Cell: 4.9165 4.9165 4.9357 Å, 90.00 90.00 90.00°
Last column: nearest neighbours and their distance in Å.
Space group P4/mmm (No. 123)
Symmetry-distinct sites (fractional):
1 Mn 0.0000 0.5000 0.0000 x2  2 Zn 2.46
2 Zn 0.0000 0.0000 0.0000 x1  4 Mn 2.46, 2 Te 2.47
3 Te 0.0000 0.0000 0.5000 x1  2 Zn 2.47
4 S 0.5000 0.5000 0.5000 x1  4 Te 3.48, 8 Mn 3.48

(13)
ThMnS4 | PBE | optimized geometry

Cell: 5.2150 6.3772 7.2609 Å, 90.00 90.00 90.00°
Last column: nearest neighbours and their distance in Å.
Space group Pmna (No. 53)
Symmetry-distinct sites (fractional):
1 Th 0.0000 0.0000 0.0000 x2  10 S 2.84-3.03
2 Mn 0.0000 0.5000 0.5000 x2  6 S 2.30-2.51
3 S 0.0000 0.1773 0.3594 x4  1 Mn 2.30
4 S 0.2500 0.3208 0.7500 x4  2 Mn 2.51, 2 S 2.61

(14)
ThMnS | PBE | optimized geometry

Cell: 7.0723 4.9847 7.7054 Å, 90.00 105.18 90.00°
Last column: nearest neighbours and their distance in Å.
Space group C2/m (No. 12)
Symmetry-distinct sites (fractional):
1 Th 0.1056 0.0000 0.2439 x4  4 S 2.76-3.00, 3 Mn 3.05
2 Mn 0.1526 0.5000 0.0310 x4  1 Mn 2.09
3 S 0.2390 0.0000 0.6469 x4  1 Mn 2.40

(15)
ThMnS3 | PBE | optimized geometry

Cell: 6.8760 7.1268 10.9763 Å, 90.00 118.32 90.00°
Last column: nearest neighbours and their distance in Å.
Space group P2_1/c (No. 14)
Symmetry-distinct sites (fractional):
1 Th 0.1602 0.1271 0.2207 x4  7 S 2.75-3.08
2 Mn 0.4503 0.6782 0.3844 x4  4 S 2.32-2.48
3 S 0.1649 0.1460 0.9418 x4  1 Mn 2.43
4 S 0.1976 0.6386 0.9155 x4  1 Mn 2.32
5 S 0.4674 0.0887 0.7526 x4  2 Mn 2.43-2.48

(16)
TiMnS3 | PBE | optimized geometry

Cell: 5.9965 5.9965 16.6839 Å, 90.00 90.00 120.00°
Last column: nearest neighbours and their distance in Å.
Space group R-3 (No. 148, hexagonal axes)
Symmetry-distinct sites (fractional):
1 Ti 0.0000 0.0000 0.1646 x6  6 S 2.42-2.46
2 Mn 0.0000 0.0000 0.3383 x6  6 S 2.39-2.42
3 S 0.0017 0.6766 0.2514 x18  2 Mn 2.39-2.42, 2 Ti 2.42-2.46

(17)
TiMn2S | PBE | optimized geometry

Cell: 7.0110 7.0110 4.7846 Å, 90.00 90.00 90.00°
Last column: nearest neighbours and their distance in Å.
Space group I-42d (No. 122)
Symmetry-distinct sites (fractional):
1 Ti 0.0000 0.0000 0.0000 x4  2 S 2.39
2 Mn 0.1692 0.2500 0.6250 x8  2 S 2.20
3 S 0.0000 0.0000 0.5000 x4  4 Mn 2.20, 2 Ti 2.39

(18)
Ti2Mn3S8 | PBE | optimized geometry

Cell: 12.4218 6.8044 6.0104 Å, 90.00 107.61 90.00°
Last column: nearest neighbours and their distance in Å.
Space group C2/m (No. 12)
Symmetry-distinct sites (fractional):
1 Ti 0.2336 0.0000 0.1604 x4  6 S 2.37-2.58
2 Mn 0.0000 0.2436 0.5000 x4  6 S 2.36-2.48
3 Mn 0.0000 0.5000 0.0000 x2  6 S 2.43-2.57
4 S 0.1114 0.0000 0.3956 x4  2 Mn 2.36, 1 Ti 2.37
5 S 0.1163 0.5000 0.4337 x4  3 Mn 2.37-2.57, 1 Ti 2.58
6 S 0.1246 0.2596 0.9088 x8  2 Mn 2.43-2.48, 2 Ti 2.45-2.53

(19)
TiMnS3 | PBE | optimized geometry

Cell: 4.4637 4.4637 4.4637 Å, 90.00 90.00 90.00°
Last column: nearest neighbours and their distance in Å.
Space group Pm-3m (No. 221)
Symmetry-distinct sites (fractional):
1 Ti 0.0000 0.0000 0.0000 x1  12 S 3.16
2 Mn 0.5000 0.5000 0.5000 x1  6 S 2.23
3 S 0.0000 0.5000 0.5000 x3  2 Mn 2.23

(20)
TiMnS4 | PBE | optimized geometry

Cell: 6.7720 5.2246 6.8724 Å, 90.00 119.82 90.00°
Last column: nearest neighbours and their distance in Å.
Space group P2_1/c (No. 14)
Symmetry-distinct sites (fractional):
1 Ti 0.0000 0.0000 0.0000 x2  6 S 2.37-2.45
2 Mn 0.5000 0.0000 0.0000 x2  6 S 2.31-2.42
3 S 0.1810 0.2406 0.3523 x4  1 Mn 2.31, 2 Ti 2.37-2.45
4 S 0.3301 0.7284 0.1464 x4  2 Mn 2.35-2.42, 1 Ti 2.41

(21)
TiMn4S8 | PBE | optimized geometry

Cell: 6.8971 6.8971 16.9397 Å, 90.00 90.00 120.00°
Last column: nearest neighbours and their distance in Å.
Space group R-3m (No. 166, hexagonal axes)
Symmetry-distinct sites (fractional):
1 Ti 0.0000 0.0000 0.0000 x3  6 S 2.43
2 Mn 0.0000 0.0000 0.5000 x3  6 S 2.45
3 Mn 0.0000 0.5000 0.5000 x9  6 S 2.35-2.37
4 S 0.0000 0.0000 0.2409 x6  3 Mn 2.35
5 S 0.0117 0.5058 0.7548 x18  3 Mn 2.37-2.45, 1 Ti 2.43

(22)
Ti5MnS10 | PBE | optimized geometry

Cell: 3.4237 3.4237 30.8903 Å, 90.00 90.00 120.00°
Last column: nearest neighbours and their distance in Å.
Space group P-3m1 (No. 164)
Symmetry-distinct sites (fractional):
1 Ti 0.0000 0.0000 0.0000 x1  6 S 2.43
2 Ti 0.0000 0.0000 0.2007 x2  6 S 2.43
3 Ti 0.0000 0.0000 0.4022 x2  6 S 2.41-2.51
4 Mn 0.0000 0.0000 0.5000 x1  6 S 2.46
5 S 0.3333 0.6667 0.1548 x2  3 Ti 2.43
6 S 0.3333 0.6667 0.3576 x2  3 Ti 2.41
7 S 0.3333 0.6667 0.5476 x2  3 Mn 2.46, 3 Ti 2.51
8 S 0.3333 0.6667 0.7533 x2  3 Ti 2.43
9 S 0.3333 0.6667 0.9541 x2  3 Ti 2.43

The evaluated density for the records listed, in turn: 3.94 3.39 5.75 6.22 5.98 5.67 3.45 5.89 7.88 5.33 6.09 4.66 5.71 8.08 5.38 3.82 5.36 3.55 3.72 3.64 3.74 3.26 g/cm³.
The evaluated D(E_F) for the records listed, in turn: 5.8 7.8 7.5 3.1 31.5 9.7 3.4 29.2 24.1 5.8 2.8 3.6 2.1 8.8 0.9 18.0 16.4 9.4 8.8 3.9 20.1 5.0 states/eV/cell.
The evaluated total energy for the records listed, in turn: -95.00 -135.92 -79.59 -58.16 -340.96 -16.58 -97.96 -100.03 -95.47 -60.15 -18.46 -22.35 -79.00 -91.55 -141.83 -205.73 -122.53 -173.15 -29.47 -76.18 -259.64 -109.31 eV/cell.